1.
Computed, not measured: a geometry-optimized BeTl2Pb structure at the PBE level of DFT.

Unit cell a=3.3637 b=3.3637 c=9.0937 alpha=90.00 beta=90.00 gamma=90.00
Closest atoms and distances in Å follow each position.
Sites, in units of the cell vectors:
Be (0.0000, 0.0000, 0.0000)  4 Pb 2.92, 4 Tl 2.97
Tl (0.0000, 0.0000, 0.4995)  8 Tl 3.36-3.65, 4 Pb 3.71
Tl (0.5000, 0.5000, 0.8045)  4 Be 2.97
Pb (0.5000, 0.5000, 0.1863)  4 Be 2.92

DFT formation energy   1.5 eV per formula unit
D(E_F)   0.315 states/eV/atom
Density   10.09 g/cm³
Relative energy among the computed polymorphs   23 meV per atom
V   103 Å³/f.u.

2.
Computed, not measured: a geometry-optimized MgCdPd3 structure at the PBE level of DFT.

Unit cell a=7.8846 b=7.8846 c=3.0300 alpha=100.70 beta=100.70 gamma=26.62
Closest atoms and distances in Å follow each position.
Sites, in units of the cell vectors:
Mg (0.0000, 0.0000, 0.0000)  9 Pd 2.72-2.91, 2 Mg 3.03
Cd (0.7918, 0.7918, 0.7902)  9 Pd 2.79-3.04, 2 Cd 3.03
Pd (0.1935, 0.1935, 0.1928)  4 Cd 2.79, 7 Pd 2.83-3.09, 1 Mg 2.91
Pd (0.3988, 0.3988, 0.3966)  4 Mg 2.80-2.82, 4 Cd 2.86-2.87, 4 Pd 2.88-3.09
Pd (0.5899, 0.5899, 0.5907)  4 Mg 2.72-2.73, 7 Pd 2.83-3.03, 1 Cd 3.04

DFT formation energy   -2.4 eV per formula unit
D(E_F)   0.338 states/eV/atom
Density   9.14 g/cm³
Relative energy among the computed polymorphs   0 meV per atom
V   83 Å³/f.u.

3.
Computed, not measured: a geometry-optimized Zn3AgPt structure at the PBE level of DFT.

Unit cell a=6.9046 b=6.9046 c=6.9046 alpha=143.11 beta=73.76 gamma=118.69
Closest atoms and distances in Å follow each position.
Sites, in units of the cell vectors:
Zn (0.0801, 0.8301, 0.2500)  4 Zn 2.46-2.62, 3 Pt 2.62-2.65
Zn (0.2503, 0.1359, 0.1144)  3 Zn 2.62-2.71, 3 Ag 2.70-2.86, 3 Pt 2.72-2.73
Zn (0.4785, 0.8641, 0.6144)  3 Zn 2.62-2.71, 3 Ag 2.70-2.86, 3 Pt 2.72-2.73
Zn (0.5215, 0.1359, 0.3856)  3 Zn 2.62-2.71, 3 Ag 2.70-2.86, 3 Pt 2.72-2.73
Zn (0.7497, 0.8641, 0.8856)  3 Zn 2.62-2.71, 3 Ag 2.70-2.86, 3 Pt 2.72-2.73
Zn (0.9199, 0.1699, 0.7500)  4 Zn 2.46-2.62, 3 Pt 2.62-2.65
Ag (0.0000, 0.5000, 0.5000)  6 Zn 2.70-2.86, 2 Pt 2.78
Ag (0.5000, 0.5000, 0.0000)  6 Zn 2.70-2.86, 2 Pt 2.78
Pt (0.2921, 0.5421, 0.7500)  9 Zn 2.62-2.73, 2 Ag 2.78
Pt (0.7079, 0.4579, 0.2500)  9 Zn 2.62-2.73, 2 Ag 2.78

DFT formation energy   -1.0 eV per formula unit
D(E_F)   0.255 states/eV/atom
Density   9.76 g/cm³
Relative energy among the computed polymorphs   0 meV per atom
V   85 Å³/f.u.

4.
Computed, not measured: a geometry-optimized InFe2Ag structure at the PBE level of DFT.

Unit cell a=9.1599 b=9.1599 c=9.1599 alpha=18.07 beta=18.07 gamma=18.07
Closest atoms and distances in Å follow each position.
Sites, in units of the cell vectors:
In (0.0000, 0.0000, 0.0000)  6 Fe 2.81, 6 In 2.88
Fe (0.2494, 0.2494, 0.2494)  3 Ag 2.79, 3 In 2.81, 6 Fe 2.88
Fe (0.7506, 0.7506, 0.7506)  3 Ag 2.79, 3 In 2.81, 6 Fe 2.88
Ag (0.5000, 0.5000, 0.5000)  6 Fe 2.79, 6 Ag 2.88

DFT formation energy   2.0 eV per formula unit
D(E_F)   1.135 states/eV/atom
Density   8.60 g/cm³
V   65 Å³/f.u.

5.
Computed, not measured: a geometry-optimized BeTlCl2 structure at the PBE level of DFT.

Unit cell a=5.1681 b=5.1681 c=5.1681 alpha=60.00 beta=60.00 gamma=60.00
Closest atoms and distances in Å follow each position.
Sites, in units of the cell vectors:
Be (0.0000, 0.0000, 0.0000)  8 Cl 3.16
Tl (0.5000, 0.5000, 0.5000)  8 Cl 3.16
Cl (0.2500, 0.2500, 0.2500)  4 Tl 3.16, 4 Be 3.16
Cl (0.7500, 0.7500, 0.7500)  4 Be 3.16, 4 Tl 3.16

D(E_F)   0.053 states/eV/atom
Density   4.84 g/cm³
Relative energy among the computed polymorphs   809 meV per atom
V   98 Å³/f.u.

6.
Computed, not measured: a geometry-optimized ScNb5Ga6 structure at the PBE level of DFT.

Unit cell a=6.6546 b=6.6546 c=6.2839 alpha=100.23 beta=100.23 gamma=120.85
Closest atoms and distances in Å follow each position.
Sites, in units of the cell vectors:
Sc (0.0000, 0.0000, 0.0000)  6 Ga 2.70-2.71
Nb (0.1620, 0.8380, 0.5000)  6 Ga 2.64-2.66
Nb (0.3297, 0.6703, 0.0000)  6 Ga 2.63-2.66
Nb (0.5000, 0.5000, 0.5000)  6 Ga 2.60-2.64
Nb (0.6703, 0.3297, 0.0000)  6 Ga 2.63-2.66
Nb (0.8380, 0.1620, 0.5000)  6 Ga 2.64-2.66
Ga (0.0874, 0.4259, 0.2563)  5 Nb 2.63-2.66, 1 Sc 2.71
Ga (0.2590, 0.2590, 0.7507)  5 Nb 2.60-2.66, 1 Sc 2.70
Ga (0.4259, 0.0874, 0.2563)  5 Nb 2.63-2.66, 1 Sc 2.71
Ga (0.5741, 0.9126, 0.7437)  5 Nb 2.63-2.66, 1 Sc 2.71
Ga (0.7410, 0.7410, 0.2493)  5 Nb 2.60-2.66, 1 Sc 2.70
Ga (0.9126, 0.5741, 0.7437)  5 Nb 2.63-2.66, 1 Sc 2.71

DFT formation energy   -0.5 eV per formula unit
D(E_F)   0.482 states/eV/atom
Density   6.91 g/cm³
V   223 Å³/f.u.

7.
Computed, not measured: a geometry-optimized EuNpO2 structure at the PBE level of DFT.

Unit cell a=6.1958 b=6.1958 c=6.1958 alpha=32.61 beta=32.61 gamma=32.61
Closest atoms and distances in Å follow each position.
Sites, in units of the cell vectors:
Eu (0.0000, 0.0000, 0.0000)  6 O 2.54
Np (0.5000, 0.5000, 0.5000)  6 O 2.44
O (0.2451, 0.2451, 0.2451)  3 Np 2.44, 3 Eu 2.54
O (0.7549, 0.7549, 0.7549)  3 Np 2.44, 3 Eu 2.54

D(E_F)   1.910 states/eV/atom
Density   11.38 g/cm³
Relative energy among the computed polymorphs   0 meV per atom
V   61 Å³/f.u.

8.
Computed, not measured: a geometry-optimized Zr4ScOs5 structure at the PBE level of DFT.

Unit cell a=3.2725 b=3.2725 c=16.3862 alpha=90.00 beta=90.00 gamma=90.00
Closest atoms and distances in Å follow each position.
Sites, in units of the cell vectors:
Zr (0.0000, 0.0000, 0.1013)  8 Os 2.83-2.85
Zr (0.0000, 0.0000, 0.3042)  8 Os 2.80-2.87
Zr (0.0000, 0.0000, 0.6958)  8 Os 2.80-2.87
Zr (0.0000, 0.0000, 0.8987)  8 Os 2.83-2.85
Sc (0.0000, 0.0000, 0.5000)  8 Os 2.84
Os (0.5000, 0.5000, 0.0000)  8 Zr 2.85
Os (0.5000, 0.5000, 0.2004)  8 Zr 2.83-2.87
Os (0.5000, 0.5000, 0.4000)  4 Zr 2.80, 4 Sc 2.84
Os (0.5000, 0.5000, 0.6000)  4 Zr 2.80, 4 Sc 2.84
Os (0.5000, 0.5000, 0.7996)  8 Zr 2.83-2.87

DFT formation energy   -5.3 eV per formula unit
D(E_F)   0.156 states/eV/atom
Density   12.88 g/cm³
V   175 Å³/f.u.

9.
Computed, not measured: a geometry-optimized Tl2Hg2Au3 structure at the PBE level of DFT.

Unit cell a=6.4565 b=6.4565 c=8.2710 alpha=127.97 beta=127.97 gamma=41.83
Closest atoms and distances in Å follow each position.
Sites, in units of the cell vectors:
Tl (0.1804, 0.1804, 0.2895)  3 Au 3.00-3.01
Tl (0.8196, 0.8196, 0.7105)  3 Au 3.00-3.01
Hg (0.1479, 0.1479, 0.7896)  5 Au 2.93-2.99
Hg (0.8521, 0.8521, 0.2104)  5 Au 2.93-2.99
Au (0.4725, 0.4725, 0.1369)  2 Au 2.75-2.80, 3 Hg 2.96-2.99, 2 Tl 3.00
Au (0.5000, 0.5000, 0.5000)  2 Au 2.80, 4 Hg 2.93, 2 Tl 3.01
Au (0.5275, 0.5275, 0.8631)  2 Au 2.75-2.80, 3 Hg 2.96-2.99, 2 Tl 3.00

DFT formation energy   -0.1 eV per formula unit
D(E_F)   0.390 states/eV/atom
Density   13.44 g/cm³
V   173 Å³/f.u.

10.
Computed, not measured: a geometry-optimized Nd2DyIn2 structure at the PBE level of DFT.

Unit cell a=3.8185 b=5.4251 c=14.3673 alpha=90.00 beta=97.66 gamma=90.00
Closest atoms and distances in Å follow each position.
Sites, in units of the cell vectors:
Nd (0.0466, 0.2500, 0.0936)  8 In 3.32-3.42
Nd (0.2371, 0.2500, 0.4734)  2 In 3.28, 4 Nd 3.40
Nd (0.7629, 0.7500, 0.5266)  2 In 3.28, 4 Nd 3.40
Nd (0.9534, 0.7500, 0.9064)  8 In 3.32-3.42
Dy (0.1472, 0.7500, 0.2960)  6 In 3.31-3.32, 2 Nd 3.71
Dy (0.8528, 0.2500, 0.7040)  6 In 3.31-3.32, 2 Nd 3.71
In (0.3577, 0.7500, 0.7142)  4 Nd 3.28-3.34, 4 Dy 3.32
In (0.4470, 0.2500, 0.8944)  2 Dy 3.31-3.32, 6 Nd 3.32-3.42
In (0.5530, 0.7500, 0.1056)  2 Dy 3.31-3.32, 6 Nd 3.32-3.42
In (0.6423, 0.2500, 0.2858)  4 Nd 3.28-3.34, 4 Dy 3.32

DFT formation energy   -1.9 eV per formula unit
D(E_F)   0.826 states/eV/atom
Density   7.66 g/cm³
Relative energy among the computed polymorphs   6 meV per atom
V   147 Å³/f.u.

11.
Computed, not measured: a geometry-optimized ScGa2Bi structure at the PBE level of DFT.

Unit cell a=4.5090 b=4.5090 c=4.3068 alpha=90.00 beta=90.00 gamma=90.00
Closest atoms and distances in Å follow each position.
Sites, in units of the cell vectors:
Sc (0.0000, 0.0000, 0.0000)  8 Ga 3.12, 4 Bi 3.19
Ga (0.0000, 0.5000, 0.5000)  4 Bi 3.12, 4 Sc 3.12, 4 Ga 3.19
Ga (0.5000, 0.0000, 0.5000)  4 Bi 3.12, 4 Sc 3.12, 4 Ga 3.19
Bi (0.5000, 0.5000, 0.0000)  8 Ga 3.12, 4 Sc 3.19

DFT formation energy   -1.1 eV per formula unit
D(E_F)   0.209 states/eV/atom
Density   7.46 g/cm³
V   88 Å³/f.u.

12.
Computed, not measured: a geometry-optimized KZrRh structure at the PBE level of DFT.

Unit cell a=3.5809 b=3.5809 c=7.7040 alpha=90.00 beta=90.00 gamma=120.00
Closest atoms and distances in Å follow each position.
Sites, in units of the cell vectors:
K (0.0000, 0.0000, 0.0000)  3 Rh 3.37, 6 K 3.58
Zr (0.6667, 0.3333, 0.5377)  3 Rh 2.55
Rh (0.3333, 0.6667, 0.3447)  3 Zr 2.55

DFT formation energy   0.4 eV per formula unit
D(E_F)   0.448 states/eV/atom
Density   4.53 g/cm³
Relative energy among the computed polymorphs   76 meV per atom
V   86 Å³/f.u.